[1]
VASP calculation (GGA+U) on ZnMoF2 after structural relaxation.

abc: 8.222 8.222 8.222
angles: 19.26 19.26 19.26
Sites, in units of the cell vectors:
Zn1 0.000 0.000 0.000
Mo1 0.500 0.500 0.500
F1 0.103 0.103 0.103
F2 0.897 0.897 0.897

Results
Its excess energy over the best structure of this formula in the dataset is 0.00 eV/f.u.

[2]
VASP calculation (GGA+U) on Zn2MoF after structural relaxation.

abc: 5.664 5.664 5.664
angles: 103.71 103.71 121.72
Sites, in units of the cell vectors:
Zn1 0.074 0.125 0.449
Zn2 0.375 0.926 0.051
Zn3 0.676 0.625 0.551
Zn4 0.875 0.324 0.949
Mo1 0.250 0.750 0.500
Mo2 0.500 0.500 0.000
F1 0.000 0.000 0.000
F2 0.750 0.250 0.500

Results
Its excess energy over the best structure of this formula in the dataset is 0.00 eV/f.u.

[3]
VASP calculation (GGA+U) on ZnMoF6 after structural relaxation.

abc: 5.137 5.137 9.725
angles: 90.00 90.00 120.00
Sites, in units of the cell vectors:
Zn1 0.333 0.667 0.250
Zn2 0.667 0.333 0.750
Mo1 0.000 0.000 0.000
Mo2 0.000 0.000 0.500
F1 0.032 0.327 0.123
F2 0.032 0.704 0.377
F3 0.296 0.327 0.377
F4 0.296 0.968 0.123
F5 0.327 0.032 0.623
F6 0.327 0.296 0.877
F7 0.673 0.704 0.123
F8 0.673 0.968 0.377
F9 0.704 0.032 0.877
F10 0.704 0.673 0.623
F11 0.968 0.296 0.623
F12 0.968 0.673 0.877

[4]
VASP calculation (GGA+U) on ZnMoF3 after structural relaxation.

abc: 4.130 4.130 4.130
angles: 90.00 90.00 90.00
Sites, in units of the cell vectors:
Zn1 0.000 0.000 0.000
Mo1 0.500 0.500 0.500
F1 0.000 0.000 0.500
F2 0.000 0.500 0.000
F3 0.500 0.000 0.000

Results
Its excess energy over the best structure of this formula in the dataset is 1.10 eV/f.u.

[5]
VASP calculation (GGA+U) on ZnMoF2 after structural relaxation.

abc: 7.800 7.800 7.800
angles: 147.73 147.73 46.28
Sites, in units of the cell vectors:
Zn1 0.000 0.000 0.000
Zn2 0.750 0.250 0.500
Mo1 0.250 0.750 0.500
Mo2 0.500 0.500 0.000
F1 0.200 0.625 0.075
F2 0.375 0.450 0.575
F3 0.550 0.125 0.925
F4 0.875 0.800 0.425

Results
Its excess energy over the best structure of this formula in the dataset is 0.05 eV/f.u.

[6]
VASP calculation (GGA+U) on ZrMoF3 after structural relaxation.

abc: 4.442 4.442 4.442
angles: 90.00 90.00 90.00
Sites, in units of the cell vectors:
Zr1 0.000 0.000 0.000
Mo1 0.500 0.500 0.500
F1 0.000 0.500 0.500
F2 0.500 0.000 0.500
F3 0.500 0.500 0.000

Results
Its excess energy over the best structure of this formula in the dataset is 3.53 eV/f.u.

[7]
VASP calculation (GGA+U) on ZrMo2F after structural relaxation.

abc: 5.939 5.939 5.939
angles: 98.98 98.98 133.46
Sites, in units of the cell vectors:
Zr1 0.000 0.000 0.000
Zr2 0.750 0.250 0.500
Mo1 0.202 0.125 0.577
Mo2 0.375 0.798 0.923
Mo3 0.548 0.625 0.423
Mo4 0.875 0.452 0.077
F1 0.250 0.750 0.500
F2 0.500 0.500 0.000

Results
Its excess energy over the best structure of this formula in the dataset is 0.00 eV/f.u.

[8]
VASP calculation (GGA+U) on ZrMoF3 after structural relaxation.

abc: 4.419 4.419 4.419
angles: 90.00 90.00 90.00
Sites, in units of the cell vectors:
Zr1 0.000 0.000 0.000
Mo1 0.500 0.500 0.500
F1 0.000 0.000 0.500
F2 0.000 0.500 0.000
F3 0.500 0.000 0.000

Results
Its excess energy over the best structure of this formula in the dataset is 0.00 eV/f.u.

Number 1: calculated total energy -15.6 eV per cell. Number 2: calculated total energy -24.1 eV per cell. Number 3: calculated total energy -78.2 eV per cell. Number 4: calculated total energy -21.4 eV per cell. Number 5: calculated total energy -31.2 eV per cell. Number 6: calculated total energy -26.3 eV per cell. Number 7: calculated total energy -44.3 eV per cell. Number 8: calculated total energy -29.9 eV per cell.